# 1
A plane-wave DFT calculation with PBE was carried out for a relaxed structure of AgAsRu2.

Computed properties:
Space-group type   Imm2, No. 44
Energy of formation from the pure elements   0.40 eV per atom

Lattice parameters (Å, degrees): 5.4010 5.4010 5.4010 147.94 131.74 59.13
Closest atoms and distances in Å follow each position.
Positions (direct):
Ag  0.0000  0.0000  0.0000  6 Ru 2.69-3.00, 2 As 2.79, 2 Ag 2.98
As  0.7491  0.2491  0.5000  6 Ru 2.45-2.69
Ru  0.2843  0.7843  0.5000  4 As 2.69, 4 Ru 2.85-2.98, 2 Ag 3.00
Ru  0.5428  0.5428  0.0000  2 As 2.45, 4 Ag 2.69

***

# 2
A plane-wave DFT calculation with PBE was carried out for a relaxed structure of AgAsRu2.

Computed properties:
Space-group type   Cmm2, No. 35
Energy of formation from the pure elements   0.44 eV per atom

Lattice parameters (Å, degrees): 2.8006 2.8006 9.5530 90.00 90.00 119.25
Closest atoms and distances in Å follow each position.
Positions (direct):
Ag  0.0000  0.0000  0.0000  6 Ag 2.80-2.83, 2 Ru 2.85, 2 As 3.11
As  0.5000  0.5000  0.2902  2 Ru 2.57, 6 As 2.80-2.83
Ru  0.0000  0.0000  0.5144  2 As 2.57, 8 Ru 2.59-2.83
Ru  0.5000  0.5000  0.7408  8 Ru 2.59-2.83, 2 Ag 2.85

***

# 3
A plane-wave DFT calculation with PBE was carried out for a relaxed structure of AgAs2Ru.

Computed properties:
Space-group type   C2/m, No. 12
Energy of formation from the pure elements   0.12 eV per atom

Lattice parameters (Å, degrees): 4.3480 4.3480 5.5910 100.16 100.16 41.79
Closest atoms and distances in Å follow each position.
Positions (direct):
Ag  0.0000  0.0000  0.0000  6 As 2.71-2.90
As  0.2322  0.2322  0.7105  3 Ru 2.55-2.66, 1 Ag 2.71
As  0.7678  0.7678  0.2895  3 Ru 2.55-2.66, 1 Ag 2.71
Ru  0.5000  0.5000  0.5000  6 As 2.55-2.66

***

# 4
A plane-wave DFT calculation with PBE was carried out for a relaxed structure of AgAsRu2.

Computed properties:
Space-group type   C2/m, No. 12
Energy of formation from the pure elements   0.29 eV per atom

Lattice parameters (Å, degrees): 4.1181 4.1181 5.7723 99.55 99.55 41.86
Closest atoms and distances in Å follow each position.
Positions (direct):
Ag  0.0000  0.0000  0.0000  6 Ru 2.75-2.81, 2 Ag 2.94
As  0.5000  0.5000  0.5000  6 Ru 2.47-2.49
Ru  0.2416  0.2416  0.7014  3 As 2.47-2.49, 1 Ag 2.75
Ru  0.7584  0.7584  0.2986  3 As 2.47-2.49, 1 Ag 2.75

***

# 5
A plane-wave DFT calculation with PBE was carried out for a relaxed structure of Ag3AsRu.

Computed properties:
Space-group type   Pm-3m, No. 221
Energy of formation from the pure elements   1.06 eV per atom

Lattice parameters (Å, degrees): 4.8093 4.8093 4.8093 90.00 90.00 90.00
Closest atoms and distances in Å follow each position.
Positions (direct):
Ag  0.0000  0.0000  0.5000  2 As 2.40
Ag  0.0000  0.5000  0.0000  2 As 2.40
Ag  0.5000  0.0000  0.0000  2 As 2.40
As  0.0000  0.0000  0.0000  6 Ag 2.40
Ru  0.5000  0.5000  0.5000  12 Ag 3.40

***

# 6
A plane-wave DFT calculation with PBE was carried out for a relaxed structure of AgAsRu2.

Computed properties:
Space-group type   Immm, No. 71
Energy of formation from the pure elements   0.27 eV per atom

Lattice parameters (Å, degrees): 5.2703 5.2703 5.2703 147.35 127.71 63.03
Closest atoms and distances in Å follow each position.
Positions (direct):
Ag  0.0000  0.0000  0.0000  4 As 2.75, 2 Ag 2.96, 8 Ru 2.97-3.01
As  0.5000  0.5000  0.0000  4 Ru 2.43
Ru  0.2863  0.7863  0.5000  2 As 2.43
Ru  0.7137  0.2137  0.5000  2 As 2.43

***

# 7
A plane-wave DFT calculation with PBE was carried out for a relaxed structure of AgAsRu2.

Computed properties:
Space-group type   I-4m2, No. 119
Energy of formation from the pure elements   0.50 eV per atom

Lattice parameters (Å, degrees): 4.7967 4.7967 4.7967 131.11 131.11 71.64
Closest atoms and distances in Å follow each position.
Positions (direct):
Ag  0.0000  0.0000  0.0000  8 Ru 2.78-2.81, 4 As 2.78
As  0.2500  0.7500  0.5000  8 Ru 2.78-2.81, 4 Ag 2.78
Ru  0.5000  0.5000  0.0000  4 As 2.78, 4 Ru 2.78, 4 Ag 2.81
Ru  0.7500  0.2500  0.5000  4 Ru 2.78, 4 Ag 2.78, 4 As 2.81

***

# 8
A plane-wave DFT calculation with PBE was carried out for a relaxed structure of AgAsRu2.

Computed properties:
Space-group type   R-3m, No. 166
Energy of formation from the pure elements   0.23 eV per atom

Lattice parameters (Å, degrees): 8.5661 8.5661 8.5661 19.62 19.62 19.62
Closest atoms and distances in Å follow each position.
Positions (direct):
Ag  0.0000  0.0000  0.0000  6 Ru 2.92, 6 Ag 2.92
As  0.5000  0.5000  0.5000  6 Ru 2.48
Ru  0.2389  0.2389  0.2389  3 As 2.48
Ru  0.7611  0.7611  0.7611  3 As 2.48

***

# 9
A plane-wave DFT calculation with PBE was carried out for a relaxed structure of AgAs2Ru.

Computed properties:
Space-group type   I-4m2, No. 119
Energy of formation from the pure elements   0.34 eV per atom

Lattice parameters (Å, degrees): 5.2007 5.2007 5.2007 136.37 136.37 63.41
Closest atoms and distances in Å follow each position.
Positions (direct):
Ag  0.0000  0.0000  0.0000  8 As 2.73-2.94, 4 Ru 2.94
As  0.2500  0.7500  0.5000  4 Ru 2.73, 4 As 2.94, 4 Ag 2.94
As  0.5000  0.5000  0.0000  4 Ag 2.73, 4 As 2.94, 4 Ru 2.94
Ru  0.7500  0.2500  0.5000  8 As 2.73-2.94, 4 Ag 2.94

***

# 10
A plane-wave DFT calculation with PBE was carried out for a relaxed structure of AgAsRu2.

Computed properties:
Space-group type   Cmmm, No. 65
Energy of formation from the pure elements   0.41 eV per atom

Lattice parameters (Å, degrees): 2.8882 2.8882 8.6423 90.00 90.00 118.13
Closest atoms and distances in Å follow each position.
Positions (direct):
Ag  0.0000  0.0000  0.0000  4 Ru 2.86, 6 Ag 2.89-2.97
As  0.0000  0.0000  0.5000  4 Ru 2.40
Ru  0.5000  0.5000  0.2824  2 As 2.40
Ru  0.5000  0.5000  0.7176  2 As 2.40

***

# 11
A plane-wave DFT calculation with PBE was carried out for a relaxed structure of AgAsRu2.

Computed properties:
Space-group type   P4mm, No. 99
Energy of formation from the pure elements   0.22 eV per atom

Lattice parameters (Å, degrees): 2.8492 2.8492 8.0256 90.00 90.00 90.00
Closest atoms and distances in Å follow each position.
Positions (direct):
Ag  0.0000  0.0000  0.0000  4 Ag 2.85, 4 Ru 2.90
As  0.5000  0.5000  0.3153  4 Ru 2.65, 4 As 2.85
Ru  0.0000  0.0000  0.5304  8 Ru 2.62-2.85, 4 As 2.65
Ru  0.5000  0.5000  0.7400  8 Ru 2.62-2.85, 4 Ag 2.90

***

# 12
A plane-wave DFT calculation with PBE was carried out for a relaxed structure of AgAsRu2.

Computed properties:
Space-group type   R3m, No. 160
Energy of formation from the pure elements   0.24 eV per atom

Lattice parameters (Å, degrees): 9.1933 9.1933 9.1933 17.82 17.82 17.82
Closest atoms and distances in Å follow each position.
Positions (direct):
Ag  0.0000  0.0000  0.0000  6 Ag 2.85, 3 Ru 2.90, 3 As 3.09
As  0.7630  0.7630  0.7630  3 Ru 2.56, 6 As 2.85
Ru  0.2451  0.2451  0.2451  9 Ru 2.65-2.85, 3 Ag 2.90
Ru  0.5020  0.5020  0.5020  3 As 2.56, 9 Ru 2.65-2.85

***

# 13
A plane-wave DFT calculation with PBE was carried out for a relaxed structure of AgAsRu2.

Computed properties:
Space-group type   P4/mmm, No. 123
Energy of formation from the pure elements   0.22 eV per atom

Lattice parameters (Å, degrees): 3.0166 3.0166 6.6728 90.00 90.00 90.00
Closest atoms and distances in Å follow each position.
Positions (direct):
Ag  0.0000  0.0000  0.0000  8 Ru 2.88, 4 Ag 3.02
As  0.0000  0.0000  0.5000  8 Ru 2.55
Ru  0.5000  0.5000  0.2908  4 As 2.55, 1 Ru 2.79
Ru  0.5000  0.5000  0.7092  4 As 2.55, 1 Ru 2.79

***

# 14
A plane-wave DFT calculation with PBE was carried out for a relaxed structure of AgAs2Ru.

Computed properties:
Space-group type   I-42d, No. 122
Energy of formation from the pure elements   0.20 eV per atom

Lattice parameters (Å, degrees): 6.7697 6.7697 6.7697 128.02 128.02 76.60
Closest atoms and distances in Å follow each position.
Positions (direct):
Ag  0.0000  0.0000  0.0000  4 As 2.63
Ag  0.7500  0.2500  0.5000  4 As 2.63
As  0.1653  0.6250  0.0403  2 Ru 2.35
As  0.3750  0.4153  0.5403  2 Ru 2.35
As  0.5847  0.1250  0.9597  2 Ru 2.35
As  0.8750  0.8347  0.4597  2 Ru 2.35
Ru  0.2500  0.7500  0.5000  4 As 2.35
Ru  0.5000  0.5000  0.0000  4 As 2.35